(1)
Here is crystalline FeSi2PH at its relaxed geometry from Alexandria. Energies are from PBE.

Values from the calculation:
Space group   No. 123
DFT total energy   -5.006 eV per atom
Size of the total moment   2.47 Bohr magnetons per cell

a b c (Å): 3.5830 3.5830 4.6023
angles (deg): 90.00 90.00 90.00
With the nearest neighbours (Å) after each atom.
Fractional coordinates of all 5 atoms:
1 Fe 0.0000 0.0000 0.0000  4 P 2.53
2 Si 0.0000 0.5000 0.5000  2 H 1.79
3 Si 0.5000 0.0000 0.5000  2 H 1.79
4 P 0.5000 0.5000 0.0000  2 H 2.30, 4 Fe 2.53
5 H 0.5000 0.5000 0.5000  4 Si 1.79



(2)
Here is crystalline SmFePH at its relaxed geometry from Alexandria. Energies are from PBE.

Values from the calculation:
Space group   No. 129
DFT total energy   -6.421 eV per atom
Size of the total moment   0.00 Bohr magnetons per cell

a b c (Å): 3.8013 3.8013 7.7107
angles (deg): 90.00 90.00 90.00
With the nearest neighbours (Å) after each atom.
Fractional coordinates of all 8 atoms:
1 Sm 0.2500 0.2500 0.1775  4 H 2.34
2 Sm 0.7500 0.7500 0.8225  4 H 2.34
3 Fe 0.2500 0.7500 0.5000  4 P 2.22
4 Fe 0.7500 0.2500 0.5000  4 P 2.22
5 P 0.2500 0.2500 0.6481  4 Fe 2.22
6 P 0.7500 0.7500 0.3519  4 Fe 2.22
7 H 0.2500 0.7500 0.0000  4 Sm 2.34
8 H 0.7500 0.2500 0.0000  4 Sm 2.34



Number 1: V 59 Å³/cell, D(E_F) 0.897 states/eV/atom. Number 2: V 111 Å³/cell, D(E_F) 0.559 states/eV/atom.